No. 1
DFT (GGA-PBE) results for a relaxed structure of NaMoP2Cl.

energy above the lowest structure with this stoichiometry = 1799.2 meV per atom
E_form (uncorrected) = 777 kJ/mol of formula units
DOS at the Fermi energy = 9.81 states/eV per cell

```
NaMoP2Cl
1.0
-1.384 -4.498 0.695
4.269 -1.031 1.830
-1.521 1.114 4.176
P Mo Na Cl
2 1 1 1
direct
0.000 0.500 0.000
0.500 0.000 0.000
0.500 0.500 0.500
0.000 0.000 0.000
0.000 0.000 0.500
```

---

No. 2
DFT (GGA-PBE) results for a relaxed structure of Na2MoPbCl8.

E_form (uncorrected) = -1396 kJ/mol of formula units
DOS at the Fermi energy = 7.84 states/eV per cell

```
Na2MoPbCl8
1.0
6.558 -0.114 -0.004
-0.097 6.262 -0.007
0.005 0.009 8.357
Na Mo Pb Cl
2 1 1 8
direct
0.500 0.500 0.750
0.500 0.500 0.250
0.000 0.000 0.000
0.000 0.000 0.500
0.152 0.787 0.206
0.706 0.763 0.000
0.848 0.213 0.206
0.848 0.213 0.794
0.294 0.237 0.000
0.152 0.787 0.794
0.665 0.720 0.500
0.335 0.280 0.500
```

---

No. 3
DFT (GGA-PBE) results for a relaxed structure of NaMoPbCl6.

E_form (uncorrected) = -998 kJ/mol of formula units
DOS at the Fermi energy = 0.00 states/eV per cell

```
NaMoPbCl6
1.0
-3.494 5.461 2.618
-3.304 -4.651 -4.042
-2.815 -6.477 9.754
Na Mo Pb Cl
2 2 2 12
direct
0.000 0.000 0.000
0.000 0.000 0.500
0.667 0.333 0.250
0.333 0.667 0.750
0.333 0.667 0.250
0.667 0.333 0.750
0.670 0.623 0.130
0.952 0.330 0.130
0.330 0.952 0.630
0.048 0.670 0.870
0.377 0.330 0.370
0.952 0.623 0.370
0.623 0.952 0.870
0.670 0.048 0.370
0.048 0.377 0.630
0.377 0.048 0.130
0.623 0.670 0.630
0.330 0.377 0.870
```

---

No. 4
DFT (GGA-PBE) results for a relaxed structure of NaMoS2Cl.

energy above the lowest structure with this stoichiometry = 1476.7 meV per atom
E_form (uncorrected) = 420 kJ/mol of formula units
DOS at the Fermi energy = 3.97 states/eV per cell

```
NaMoS2Cl
1.0
4.955 0.000 0.000
0.000 4.955 0.000
0.000 0.000 4.730
Na Mo S Cl
1 1 2 1
direct
0.000 0.000 0.000
0.500 0.500 0.500
0.000 0.500 0.000
0.500 0.000 0.000
0.000 0.000 0.500
```

---

No. 5
DFT (GGA-PBE) results for a relaxed structure of NaMoS2Cl.

energy above the lowest structure with this stoichiometry = 0.0 meV per atom
E_form (uncorrected) = -292 kJ/mol of formula units
DOS at the Fermi energy = 4.55 states/eV per cell

```
NaMoS2Cl
1.0
4.655 0.000 0.000
0.000 4.655 0.000
0.000 0.000 5.176
Na Mo S Cl
1 1 2 1
direct
0.500 0.500 0.500
0.000 0.000 0.000
0.000 0.500 0.000
0.500 0.000 0.000
0.000 0.000 0.500
```

---

No. 6
DFT (GGA-PBE) results for a relaxed structure of Na2SrMoCl8.

E_form (uncorrected) = -1769 kJ/mol of formula units
DOS at the Fermi energy = 6.36 states/eV per cell

```
Na2SrMoCl8
1.0
-3.663 -1.977 5.010
-4.402 -1.986 -4.115
3.667 -7.532 -0.290
Na Sr Mo Cl
2 1 1 8
direct
0.500 0.500 0.744
0.500 0.500 0.256
0.000 0.000 0.500
0.000 0.000 0.000
0.159 0.789 0.205
0.711 0.768 0.000
0.841 0.211 0.205
0.841 0.211 0.795
0.289 0.232 0.000
0.159 0.789 0.795
0.670 0.717 0.500
0.330 0.283 0.500
```

---

No. 7
DFT (GGA-PBE) results for a relaxed structure of NaTl2MoCl6.

E_form (uncorrected) = -1076 kJ/mol of formula units

```
NaTl2MoCl6
1.0
-3.086 -2.526 6.010
0.482 -7.010 1.630
10.264 -0.857 9.239
Na Tl Mo Cl
2 4 2 12
direct
0.586 0.586 0.242
0.414 0.414 0.758
0.859 0.859 0.424
0.141 0.141 0.576
0.692 0.692 0.923
0.308 0.308 0.077
0.000 0.000 0.000
0.500 0.500 0.500
0.857 0.376 0.392
0.376 0.857 0.392
0.376 0.376 0.392
0.143 0.624 0.608
0.624 0.143 0.608
0.624 0.624 0.608
0.713 0.197 0.893
0.197 0.713 0.893
0.197 0.197 0.893
0.287 0.803 0.107
0.803 0.287 0.107
0.803 0.803 0.107
```

---

No. 8
DFT (GGA-PBE) results for a relaxed structure of Na2TlMoCl8.

E_form (uncorrected) = -1298 kJ/mol of formula units
DOS at the Fermi energy = 7.42 states/eV per cell

```
Na2TlMoCl8
1.0
-1.185 6.191 1.430
-1.613 -1.966 5.609
8.092 0.936 2.655
Na Tl Mo Cl
2 1 1 8
direct
0.500 0.500 0.757
0.500 0.500 0.243
0.000 0.000 0.500
0.000 0.000 0.000
0.151 0.790 0.199
0.698 0.755 0.000
0.849 0.210 0.199
0.849 0.210 0.801
0.302 0.245 0.000
0.151 0.790 0.801
0.675 0.695 0.500
0.325 0.305 0.500
```

---

No. 9
DFT (GGA-PBE) results for a relaxed structure of NbMoCl3.

energy above the lowest structure with this stoichiometry = 231.4 meV per atom
E_form (uncorrected) = 293 kJ/mol of formula units
DOS at the Fermi energy = 11.12 states/eV per cell

```
NbMoCl3
1.0
4.937 0.000 0.000
0.000 4.937 0.000
0.000 0.000 4.937
Mo Nb Cl
1 1 3
direct
0.000 0.000 0.000
0.500 0.500 0.500
0.000 0.500 0.000
0.000 0.000 0.500
0.500 0.000 0.000
```

---

No. 10
DFT (GGA-PBE) results for a relaxed structure of NbMoCl.

energy above the lowest structure with this stoichiometry = 290.3 meV per atom
E_form (uncorrected) = -38 kJ/mol of formula units
DOS at the Fermi energy = 3.43 states/eV per cell

```
NbMoCl
1.0
3.226 0.006 -0.002
1.611 4.985 -0.002
0.114 2.358 8.850
Mo Nb Cl
2 2 2
direct
0.531 0.577 0.751
0.132 0.361 0.958
0.842 0.948 0.904
0.238 0.172 0.662
0.381 0.898 0.478
0.015 0.580 0.165
```

---

No. 11
DFT (GGA-PBE) results for a relaxed structure of NbMoCl.

energy above the lowest structure with this stoichiometry = 0.0 meV per atom
E_form (uncorrected) = -122 kJ/mol of formula units
DOS at the Fermi energy = 4.32 states/eV per cell

```
NbMoCl
1.0
3.081 0.983 0.485
2.096 3.934 0.795
0.840 1.879 12.831
Mo Nb Cl
2 2 2
direct
0.524 0.137 0.654
0.522 0.514 0.779
0.484 0.813 0.517
0.562 0.838 0.916
0.013 0.441 0.360
0.034 0.210 0.073
```

---

No. 12
DFT (GGA-PBE) results for a relaxed structure of NbMoCl.

energy above the lowest structure with this stoichiometry = 108.7 meV per atom
E_form (uncorrected) = -90 kJ/mol of formula units
DOS at the Fermi energy = 3.18 states/eV per cell

```
NbMoCl
1.0
3.242 0.000 0.000
0.000 18.374 0.000
0.000 0.000 4.506
Mo Nb Cl
4 4 4
direct
0.250 0.947 0.536
0.750 0.053 0.536
0.250 0.447 0.036
0.750 0.553 0.036
0.250 0.569 0.517
0.750 0.431 0.517
0.250 0.069 0.017
0.750 0.931 0.017
0.250 0.333 0.720
0.750 0.667 0.720
0.250 0.833 0.220
0.750 0.167 0.220
```

---

No. 13
DFT (GGA-PBE) results for a relaxed structure of NbMoCl.

energy above the lowest structure with this stoichiometry = 189.6 meV per atom
E_form (uncorrected) = -67 kJ/mol of formula units
DOS at the Fermi energy = 3.75 states/eV per cell

```
NbMoCl
1.0
3.228 0.000 0.000
0.000 4.504 -0.007
-1.579 -1.567 9.255
Mo Nb Cl
2 2 2
direct
0.796 0.369 0.712
0.404 0.463 0.932
0.912 0.941 0.948
0.282 0.837 0.683
0.014 0.368 0.155
0.686 0.978 0.486
```

---

No. 14
DFT (GGA-PBE) results for a relaxed structure of NbMo2Cl8.

E_form (uncorrected) = -688 kJ/mol of formula units
DOS at the Fermi energy = 6.27 states/eV per cell

```
NbMo2Cl8
1.0
-1.483 -3.374 4.648
-1.970 -5.128 -5.388
7.044 -2.953 -0.932
Nb Mo Cl
1 2 8
direct
0.000 0.000 0.000
0.662 0.804 0.804
0.338 0.196 0.196
0.209 0.303 0.911
0.791 0.089 0.697
0.284 0.857 0.857
0.716 0.143 0.143
0.209 0.911 0.303
0.791 0.697 0.089
0.795 0.627 0.627
0.205 0.373 0.373
```

---

No. 15
DFT (GGA-PBE) results for a relaxed structure of Nb3MoCl.

energy above the lowest structure with this stoichiometry = 571.2 meV per atom
E_form (uncorrected) = 677 kJ/mol of formula units
DOS at the Fermi energy = 9.37 states/eV per cell

```
Nb3MoCl
1.0
4.914 0.000 0.000
0.000 4.914 0.000
0.000 0.000 4.914
Mo Nb Cl
1 3 1
direct
0.000 0.000 0.000
0.000 0.500 0.000
0.000 0.000 0.500
0.500 0.000 0.000
0.500 0.500 0.500
```

---

No. 16
DFT (GGA-PBE) results for a relaxed structure of NbMoCl.

energy above the lowest structure with this stoichiometry = 314.3 meV per atom
E_form (uncorrected) = -31 kJ/mol of formula units
DOS at the Fermi energy = 2.52 states/eV per cell

```
NbMoCl
1.0
-2.100 4.812 3.935
0.795 -1.814 2.643
4.877 1.559 -0.398
Mo Nb Cl
2 2 2
direct
0.341 0.000 0.786
0.341 0.500 0.286
0.041 0.000 0.233
0.041 0.500 0.733
0.747 0.000 0.856
0.747 0.500 0.356
```

---

No. 17
DFT (GGA-PBE) results for a relaxed structure of NbMoCl.

energy above the lowest structure with this stoichiometry = 108.6 meV per atom
E_form (uncorrected) = -90 kJ/mol of formula units
DOS at the Fermi energy = 2.98 states/eV per cell

```
NbMoCl
1.0
-1.514 0.471 -2.827
2.254 -3.468 -1.785
-12.383 -12.177 8.024
Mo Nb Cl
4 4 4
direct
0.797 0.351 0.052
0.203 0.351 0.948
0.797 0.851 0.552
0.203 0.851 0.448
0.312 0.870 0.067
0.688 0.870 0.933
0.312 0.370 0.567
0.688 0.370 0.433
0.100 0.167 0.337
0.900 0.167 0.663
0.100 0.667 0.837
0.900 0.667 0.163
```

---

No. 18
DFT (GGA-PBE) results for a relaxed structure of Nb3MoCl.

energy above the lowest structure with this stoichiometry = 0.0 meV per atom
E_form (uncorrected) = 401 kJ/mol of formula units
DOS at the Fermi energy = 8.63 states/eV per cell

```
Nb3MoCl
1.0
-2.760 2.004 2.980
0.266 -3.634 2.690
3.581 1.814 2.097
Mo Nb Cl
1 3 1
direct
0.500 0.500 0.500
0.000 0.500 0.000
0.000 0.000 0.500
0.500 0.000 0.000
0.000 0.000 0.000
```

---

No. 19
DFT (GGA-PBE) results for a relaxed structure of NbMoCl3.

energy above the lowest structure with this stoichiometry = 0.0 meV per atom
E_form (uncorrected) = 182 kJ/mol of formula units
DOS at the Fermi energy = 5.38 states/eV per cell

```
NbMoCl3
1.0
4.955 0.000 0.000
0.000 4.955 0.000
0.000 0.000 4.955
Mo Nb Cl
1 1 3
direct
0.500 0.500 0.500
0.000 0.000 0.000
0.000 0.500 0.000
0.000 0.000 0.500
0.500 0.000 0.000
```

---

No. 20
DFT (GGA-PBE) results for a relaxed structure of NbMoCl.

energy above the lowest structure with this stoichiometry = 140.1 meV per atom
E_form (uncorrected) = -81 kJ/mol of formula units
DOS at the Fermi energy = 3.40 states/eV per cell

```
NbMoCl
1.0
4.431 0.000 0.001
0.000 3.231 0.000
-0.444 0.000 9.347
Mo Nb Cl
2 2 2
direct
0.479 0.250 0.895
0.521 0.750 0.105
0.016 0.250 0.140
0.984 0.750 0.860
0.768 0.250 0.665
0.232 0.750 0.335
```